No. 1
This record from Alexandria via LeMat-Bulk describes a geometry-optimized CoTcS2N structure. The functional is PBE-GGA. Values from VASP.

Energy relative to the elements, uncorrected ... 0.674 eV/atom
SG ... P4/mmm (123)
DFT total energy ... -30.682 eV/f.u.
Size of the total moment ... 0.426 μB/atom

Quantum ESPRESSO input file:
```
&SYSTEM
  ibrav = 0, nat = 5, ntyp = 4
/
ATOMIC_SPECIES
Co 58.93 Co.upf
S 32.06 S.upf
Tc 98.00 Tc.upf
N 14.01 N.upf
CELL_PARAMETERS angstrom
4.7848 0.0000 0.0000
0.0000 4.7848 0.0000
0.0000 0.0000 3.6793
ATOMIC_POSITIONS crystal
Co 0.5000 0.5000 0.5000
S 0.0000 0.5000 0.0000
S 0.5000 0.0000 0.0000
Tc 0.0000 0.0000 0.0000
N 0.0000 0.0000 0.5000
```



No. 2
This record from Alexandria via LeMat-Bulk describes a geometry-optimized CoTeSN2 structure. The functional is PBE-GGA. Values from VASP.

Energy relative to the elements, uncorrected ... 1.111 eV/atom
SG ... P4/mmm (123)
DFT total energy ... -25.471 eV/f.u.
Size of the total moment ... 0.430 μB/atom

Quantum ESPRESSO input file:
```
&SYSTEM
  ibrav = 0, nat = 5, ntyp = 4
/
ATOMIC_SPECIES
Te 127.60 Te.upf
Co 58.93 Co.upf
S 32.06 S.upf
N 14.01 N.upf
CELL_PARAMETERS angstrom
-0.5161 -2.8642 -2.4490
3.2952 0.8562 -1.6957
2.2525 -2.8976 2.9142
ATOMIC_POSITIONS crystal
Te 0.5000 0.5000 0.5000
Co 0.0000 0.0000 0.0000
S 0.0000 0.0000 0.5000
N 0.5000 0.0000 0.0000
N 0.0000 0.5000 0.0000
```



No. 3
This record from Alexandria via LeMat-Bulk describes a geometry-optimized CoTeSN2 structure. The functional is PBE-GGA. Values from VASP.

Energy relative to the elements, uncorrected ... 1.578 eV/atom
SG ... P4/mmm (123)
DFT total energy ... -23.138 eV/f.u.
Size of the total moment ... 0.190 μB/atom

Quantum ESPRESSO input file:
```
&SYSTEM
  ibrav = 0, nat = 5, ntyp = 4
/
ATOMIC_SPECIES
N 14.01 N.upf
S 32.06 S.upf
Co 58.93 Co.upf
Te 127.60 Te.upf
CELL_PARAMETERS angstrom
3.4727 0.0000 0.0000
0.0000 3.4727 0.0000
0.0000 0.0000 7.3228
ATOMIC_POSITIONS crystal
N 0.0000 0.5000 0.0000
N 0.5000 0.0000 0.0000
S 0.0000 0.0000 0.0000
Co 0.5000 0.5000 0.5000
Te 0.0000 0.0000 0.5000
```



No. 4
This record from Alexandria via LeMat-Bulk describes a geometry-optimized CoTeSN2 structure. The functional is PBE-GGA. Values from VASP.

Energy relative to the elements, uncorrected ... 1.071 eV/atom
SG ... P4/mmm (123)
DFT total energy ... -25.670 eV/f.u.
Size of the total moment ... 0.134 μB/atom

Quantum ESPRESSO input file:
```
&SYSTEM
  ibrav = 0, nat = 5, ntyp = 4
/
ATOMIC_SPECIES
N 14.01 N.upf
Te 127.60 Te.upf
Co 58.93 Co.upf
S 32.06 S.upf
CELL_PARAMETERS angstrom
3.6541 0.0000 0.0000
0.0000 3.6541 0.0000
0.0000 0.0000 5.7765
ATOMIC_POSITIONS crystal
N 0.5000 0.0000 0.0000
N 0.0000 0.5000 0.0000
Te 0.0000 0.0000 0.5000
Co 0.0000 0.0000 0.0000
S 0.5000 0.5000 0.5000
```



We obtain density values of 4.63 6.04 4.64 5.31 g cm⁻³ for the records listed above, in that order.